(1)
# KNiHg2Pb | Alexandria via LeMat-Bulk | GGA-PBE | optimized geometry
# - density of states at the Fermi level (states/eV/f.u.) = 2.34
# - formation energy from the elements (meV/atom) = -64
# - size of the total moment (μB per cell) = 0.00
data_KNiHg2Pb
_chemical_formula_sum 'K1 Ni1 Hg2 Pb1'
_space_group_name_H-M_alt 'P 4/m m m'
_space_group_IT_number 123
_space_group_name_Hall '-P 4 2'
_cell_length_a 5.229
_cell_length_b 5.229
_cell_length_c 5.090
_cell_angle_alpha 90.00
_cell_angle_beta 90.00
_cell_angle_gamma 90.00
loop_
_atom_site_label
_atom_site_type_symbol
_atom_site_fract_x
_atom_site_fract_y
_atom_site_fract_z
K1 K 0.000 0.000 0.000
Ni1 Ni 0.500 0.500 0.500
Hg1 Hg 0.000 0.500 0.500
Pb1 Pb 0.500 0.500 0.000


(2)
# BeReRh | Alexandria via LeMat-Bulk | GGA-PBE | optimized geometry
# - density of states at the Fermi level (states/eV/f.u.) = 1.84
# - formation energy from the elements (meV/atom) = -256
# - size of the total moment (μB per cell) = 0.00
data_BeReRh
_chemical_formula_sum 'Be2 Re2 Rh2'
_space_group_name_H-M_alt 'P 1 21/m 1'
_space_group_IT_number 11
_cell_length_a 2.774
_cell_length_b 3.824
_cell_length_c 7.209
_cell_angle_alpha 90.00
_cell_angle_beta 100.63
_cell_angle_gamma 90.00
loop_
_space_group_symop_operation_xyz
'x,y,z'
'-x,-y,-z'
'-x,y+1/2,-z'
'x,-y+1/2,z'
loop_
_atom_site_label
_atom_site_type_symbol
_atom_site_fract_x
_atom_site_fract_y
_atom_site_fract_z
Be1 Be 0.036 0.250 0.082
Re1 Re 0.180 0.250 0.422
Rh1 Rh 0.408 0.250 0.816